No. 1
Below is a relaxed NaSr3In crystal, with properties calculated at the GGA-PBE level.

Cell: 6.4832 6.4832 6.4832 Å, 90.00 90.00 90.00°
Last column: nearest neighbours and their distance in Å.
Atoms (fractional coordinates):
Na  0.0000  0.0000  0.0000  12 Sr 4.58
Sr  0.0000  0.5000  0.5000  2 In 3.24
Sr  0.5000  0.0000  0.5000  2 In 3.24
Sr  0.5000  0.5000  0.0000  2 In 3.24
In  0.5000  0.5000  0.5000  6 Sr 3.24

Results
The value obtained for the density of states at the Fermi level is 0.383 states/eV per atom. The value obtained for the energy of formation from the pure elements is -0.03 eV per atom. For the electronic total energy, the calculation gives -1.852 eV per atom.


No. 2
Below is a relaxed Ba4MgZn crystal, with properties calculated at the GGA-PBE level.

Cell: 7.4858 7.4858 7.4858 Å, 60.00 60.00 60.00°
Last column: nearest neighbours and their distance in Å.
Atoms (fractional coordinates):
Ba  0.1251  0.1251  0.1251  6 Ba 3.74-3.75
Ba  0.1251  0.1251  0.6247  6 Ba 3.74-3.75
Ba  0.1251  0.6247  0.1251  6 Ba 3.74-3.75
Ba  0.6247  0.1251  0.1251  6 Ba 3.74-3.75
Mg  0.7500  0.7500  0.7500  12 Ba 4.39, 4 Zn 4.58
Zn  0.5000  0.5000  0.5000  12 Ba 4.39, 4 Mg 4.58

Results
The value obtained for the density of states at the Fermi level is 1.855 states/eV per atom. The value obtained for the energy of formation from the pure elements is 0.48 eV per atom. For the electronic total energy, the calculation gives -1.279 eV per atom.